No. 1
Density functional theory data (PBE-GGA) for a geometry-optimized NaZr2CdSe structure.

Summary:
DOS at the Fermi energy   6.0 states/eV/f.u.
Crystal system   tetragonal
E_tot   -3.51 eV/atom

a = 5.100 Å, b = 4.861 Å, c = 5.100 Å
α = 90.00°, β = 90.00°, γ = 90.00°
Element x y z (fractional)
Na  0.000  0.000  0.000
Se  0.000  0.500  0.000
Zr  0.000  0.000  0.500
Zr  0.500  0.000  0.000
Cd  0.500  0.500  0.500

No. 2
Density functional theory data (PBE-GGA) for a geometry-optimized Na2ZrCdSe4 structure.

Summary:
Crystal system   monoclinic
E_tot   -4.33 eV/atom

a = 3.986 Å, b = 7.115 Å, c = 7.352 Å
α = 109.45°, β = 90.00°, γ = 90.00°
Element x y z (fractional)
Na  0.500  0.000  0.500
Na  0.000  0.500  0.500
Zr  0.500  0.500  0.000
Cd  0.000  0.000  0.000
Se  0.500  0.251  0.215
Se  0.500  0.749  0.785
Se  0.000  0.278  0.772
Se  0.000  0.722  0.228

No. 3
Density functional theory data (PBE-GGA) for a geometry-optimized Na3ZrCd2Se6 structure.

Summary:
DOS at the Fermi energy   10.8 states/eV/f.u.
Crystal system   monoclinic
E_tot   -3.84 eV/atom

a = 6.974 Å, b = 6.974 Å, c = 7.424 Å
α = 99.05°, β = 99.05°, γ = 120.14°
Element x y z (fractional)
Na  0.172  0.828  0.500
Na  0.828  0.172  0.500
Na  0.500  0.500  0.500
Zr  0.000  0.000  0.000
Cd  0.334  0.666  0.000
Cd  0.666  0.334  0.000
Se  0.926  0.606  0.775
Se  0.756  0.756  0.225
Se  0.074  0.394  0.225
Se  0.606  0.926  0.775
Se  0.244  0.244  0.775
Se  0.394  0.074  0.225

No. 4
Density functional theory data (PBE-GGA) for a geometry-optimized Na2CdSi2 structure.

Summary:
DOS at the Fermi energy   2.6 states/eV/f.u.
Crystal system   tetragonal
E_tot   -2.79 eV/atom
ΔE to the lowest computed polymorph   0 meV per atom

a = 6.921 Å, b = 6.921 Å, c = 4.718 Å
α = 90.00°, β = 90.00°, γ = 90.00°
Element x y z (fractional)
Na  0.175  0.675  0.500
Na  0.675  0.825  0.500
Na  0.825  0.325  0.500
Na  0.325  0.175  0.500
Si  0.381  0.881  0.000
Si  0.881  0.619  0.000
Si  0.619  0.119  0.000
Si  0.119  0.381  0.000
Cd  0.000  0.000  0.000
Cd  0.500  0.500  0.000

Number 1: M_tot 0.000 μB/atom, uncorrected formation energy 1.048 eV/atom. Number 2: M_tot 0.000 μB/atom, uncorrected formation energy -1.077 eV/atom. Number 3: M_tot 0.000 μB/atom, uncorrected formation energy -0.902 eV/atom. Number 4: M_tot 0.000 μB/atom, uncorrected formation energy 0.095 eV/atom.